No. 1
LuO | PBE-GGA | optimized geometry

abc: 3.142 3.142 3.067
angles: 90.00 90.00 120.00
Positions (direct):
Lu (0.000, 0.000, 0.000)
O (0.667, 0.333, 0.500)

The uncorrected energy is -7.26 eV/atom. The size of the total moment is 0.67 Bohr magnetons per cell.

=====

No. 2
LuPaPO | PBE-GGA | optimized geometry

abc: 5.377 4.073 7.799
angles: 90.00 90.00 90.00
Positions (direct):
Lu (0.250, 0.000, 0.213)
Lu (0.750, 0.000, 0.787)
Pa (0.250, 0.500, 0.628)
Pa (0.750, 0.500, 0.372)
P (0.250, 0.000, 0.865)
P (0.750, 0.000, 0.135)
O (0.250, 0.500, 0.324)
O (0.750, 0.500, 0.676)

The calculation puts the energy relative to the lowest polymorph listed for this composition at 0.070 eV/atom. The size of the total moment is 2.24 Bohr magnetons per cell.

=====

No. 3
LuPaPO | PBE-GGA | optimized geometry

abc: 4.170 4.170 8.826
angles: 90.00 90.00 90.00
Positions (direct):
Lu (0.250, 0.250, 0.097)
Lu (0.750, 0.750, 0.903)
Pa (0.250, 0.750, 0.500)
Pa (0.750, 0.250, 0.500)
P (0.250, 0.250, 0.722)
P (0.750, 0.750, 0.278)
O (0.250, 0.750, 0.000)
O (0.750, 0.250, 0.000)

The calculation puts the energy relative to the lowest polymorph listed for this composition at 0.170 eV/atom. The size of the total moment is 0.06 Bohr magnetons per cell.